1.
Below is an optimized crystal structure of CuSeO2, with properties calculated at the PBEsol level.

Geometry as POSCAR:
```
CuSeO2
1.0
3.0200 0.0000 0.0000
1.5100 2.6154 0.0000
1.5100 0.8718 5.9540
O Cu Se
2 1 1
Direct
0.8918 0.8918 0.3246
0.1082 0.1082 0.6754
0.5000 0.5000 0.5000
0.0000 0.0000 0.0000
```

Calculated values
formation energy from raw total energies	-405	meV per atom
magnetization	0.892	μB per formula unit
SG	R-3m (166)

=====

2.
Below is an optimized crystal structure of Cu2SeO4, with properties calculated at the PBEsol level.

Geometry as POSCAR:
```
Cu2SeO4
1.0
-5.2920 -2.4837 -0.5712
2.5037 -4.1830 -5.0062
1.9177 -5.4644 5.9934
Cu Se O
8 4 16
Direct
0.3036 0.2543 0.7573
0.8036 0.2457 0.7427
0.6964 0.7457 0.2427
0.5000 0.5000 0.5000
0.0000 0.0000 0.0000
0.0000 0.5000 0.0000
0.5000 0.0000 0.5000
0.1964 0.7543 0.2573
0.0755 0.2316 0.3980
0.9245 0.7684 0.6020
0.5755 0.2684 0.1020
0.4245 0.7316 0.8980
0.2857 0.9486 0.8998
0.7143 0.0514 0.1002
0.0690 0.1776 0.6029
0.4573 0.7463 0.4062
0.2072 0.5803 0.8340
0.7072 0.9197 0.6660
0.0427 0.2463 0.9062
0.2143 0.4486 0.3998
0.9310 0.8224 0.3971
0.9573 0.7537 0.0938
0.7857 0.5514 0.6002
0.2928 0.0803 0.3340
0.5690 0.3224 0.8971
0.7928 0.4197 0.1660
0.4310 0.6776 0.1029
0.5427 0.2537 0.5938
```

Calculated values
formation energy from raw total energies	-631	meV per atom
magnetization	0.929	μB per formula unit
SG	P2_1/c (14)
excess energy over the best structure of this formula in the dataset	0	meV/atom

=====

3.
Below is an optimized crystal structure of Sm2CuSe4O12, with properties calculated at the PBEsol level.

Geometry as POSCAR:
```
Sm2CuSe4O12
1.0
6.9100 0.0000 0.0000
0.0000 8.1892 -0.0139
0.0000 -3.6767 9.8449
Sm Cu Se O
4 2 8 24
Direct
0.3320 0.7642 0.4211
0.8320 0.7358 0.5789
0.6680 0.2358 0.5789
0.1680 0.2642 0.4211
0.5000 0.5000 0.0000
0.0000 0.0000 0.0000
0.1805 0.1357 0.6897
0.6805 0.3643 0.3103
0.3230 0.8736 0.1350
0.8230 0.6264 0.8650
0.6770 0.1264 0.8650
0.1770 0.3736 0.1350
0.3195 0.6357 0.6897
0.8195 0.8643 0.3103
0.6497 0.9074 0.4409
0.1497 0.5926 0.5591
0.3503 0.0926 0.5591
0.8503 0.4074 0.4409
0.8852 0.0769 0.3506
0.3852 0.4231 0.6494
0.1148 0.9231 0.6494
0.6148 0.5769 0.3506
0.4898 0.7303 0.6173
0.9898 0.7697 0.3827
0.2254 0.4695 0.3042
0.7254 0.0305 0.6958
0.7746 0.5305 0.6958
0.2746 0.9695 0.3042
0.1246 0.1733 0.1530
0.6246 0.3267 0.8470
0.8754 0.8267 0.8470
0.3754 0.6733 0.1530
0.0978 0.8209 0.0596
0.5978 0.6791 0.9404
0.9022 0.1791 0.9404
0.4022 0.3209 0.0596
0.5102 0.2697 0.3827
0.0102 0.2303 0.6173
```

Calculated values
formation energy from raw total energies	-1578	meV per atom
magnetization	1.000	μB per formula unit
SG	P2_1/c (14)

=====

4.
Below is an optimized crystal structure of Sr2CuSe3O9, with properties calculated at the PBEsol level.

Geometry as POSCAR:
```
Sr2CuSe3O9
1.0
7.1360 0.0239 0.0189
-0.8670 7.6437 -0.0062
-2.2484 -2.1070 8.0338
Sr Cu Se O
4 2 6 18
Direct
0.6193 0.4861 0.8074
0.3807 0.5139 0.1926
0.7586 0.9116 0.6062
0.2414 0.0884 0.3938
0.0873 0.3395 0.7498
0.9127 0.6605 0.2502
0.8971 0.1982 0.0336
0.2191 0.6340 0.5897
0.3705 0.0755 0.7986
0.6295 0.9245 0.2014
0.7809 0.3660 0.4103
0.1029 0.8018 0.9664
0.1689 0.6246 0.3797
0.8311 0.3754 0.6203
0.2297 0.4055 0.5933
0.7703 0.5945 0.4067
0.4662 0.7140 0.6563
0.5338 0.2860 0.3437
0.0582 0.8196 0.1568
0.9418 0.1804 0.8432
0.1935 0.6039 0.9379
0.8065 0.3961 0.0621
0.8737 0.7510 0.8292
0.1263 0.2490 0.1708
0.4815 0.8700 0.3187
0.5185 0.1300 0.6813
0.8473 0.0063 0.3555
0.1527 0.9937 0.6445
0.6618 0.7055 0.1140
0.3382 0.2945 0.8860
```

Calculated values
formation energy from raw total energies	-1505	meV per atom
magnetization	0.976	μB per formula unit
SG	P-1 (2)

=====

5.
Below is an optimized crystal structure of Sr2CuSeO2, with properties calculated at the PBEsol level.

Geometry as POSCAR:
```
Sr2CuSeO2
1.0
3.8856 0.0000 0.0000
0.0000 3.8856 0.0000
0.0000 0.0000 6.8939
Sr Se Cu O
2 1 1 2
Direct
0.0000 0.0000 0.2426
0.0000 0.0000 0.7574
0.5000 0.5000 0.5000
0.5000 0.5000 0.0000
0.0000 0.5000 0.0000
0.5000 0.0000 0.0000
```

Calculated values
formation energy from raw total energies	-1867	meV per atom
magnetization	0.000	μB per formula unit
SG	P4/mmm (123)

=====

6.
Below is an optimized crystal structure of Tl2Cu3Se6O18, with properties calculated at the PBEsol level.

Geometry as POSCAR:
```
Tl2Cu3Se6O18
1.0
-3.8343 -0.6426 -2.6705
-1.9749 -9.2166 1.9172
-6.6715 -1.0331 7.3759
Tl Cu Se O
2 3 6 18
Direct
0.4402 0.3143 0.6792
0.5598 0.6857 0.3208
0.2067 0.5257 0.0895
0.7933 0.4743 0.9105
0.0000 0.0000 0.0000
0.6178 0.7869 0.9609
0.9149 0.9284 0.3519
0.0851 0.0716 0.6481
0.3069 0.6503 0.6729
0.6931 0.3497 0.3271
0.3822 0.2131 0.0391
0.9021 0.6414 0.9573
0.5798 0.5802 0.5734
0.2658 0.1455 0.9195
0.9845 0.0419 0.1726
0.0979 0.3586 0.0427
0.4202 0.4198 0.4266
0.8764 0.5061 0.2696
0.3688 0.6934 0.0982
0.7342 0.8545 0.0805
0.4829 0.6288 0.8207
0.4390 0.0991 0.6373
0.5171 0.3712 0.1793
0.9304 0.2530 0.6355
0.5610 0.9009 0.3627
0.0696 0.7470 0.3645
0.0155 0.9581 0.8274
0.1236 0.4939 0.7304
0.6312 0.3066 0.9018
```

Calculated values
formation energy from raw total energies	-712	meV per atom
magnetization	2.451	μB per formula unit
SG	P-1 (2)

=====

7.
Below is an optimized crystal structure of CuSiO3, with properties calculated at the PBEsol level.

Geometry as POSCAR:
```
CuSiO3
1.0
3.5004 0.0000 0.0000
0.0000 3.5004 0.0000
0.0000 0.0000 3.5004
Si O Cu
1 3 1
Direct
0.0000 0.0000 0.0000
0.0000 0.5000 0.0000
0.0000 0.0000 0.5000
0.5000 0.0000 0.0000
0.5000 0.5000 0.5000
```

Calculated values
formation energy from raw total energies	-1384	meV per atom
magnetization	1.000	μB per formula unit
SG	Pm-3m (221)

=====

8.
Below is an optimized crystal structure of CuSiO3, with properties calculated at the PBEsol level.

Geometry as POSCAR:
```
CuSiO3
1.0
-2.6633 0.3139 -0.9255
-0.6013 -4.6946 0.1381
-2.7543 0.5918 8.1263
Cu Si O
2 2 6
Direct
0.0000 0.5000 0.5000
0.0000 0.5000 0.0000
0.5000 0.9020 0.7500
0.5000 0.0980 0.2500
0.5000 0.7119 0.5921
0.5000 0.2881 0.4079
0.5000 0.7119 0.9079
0.5000 0.2881 0.0921
0.0000 0.9129 0.2500
0.0000 0.0871 0.7500
```

Calculated values
formation energy from raw total energies	-1819	meV per atom
magnetization	1.007	μB per formula unit
SG	Pmma (51)

=====

9.
Below is an optimized crystal structure of Cu5Si4O14, with properties calculated at the PBEsol level.

Geometry as POSCAR:
```
Cu5Si4O14
1.0
-5.0254 2.5309 -0.0393
-5.2397 -5.1817 0.2401
-1.3112 -2.4005 6.9586
Cu Si O
5 4 14
Direct
0.0844 0.6061 0.8163
0.6785 0.4195 0.7160
0.3215 0.5805 0.2840
0.9156 0.3939 0.1837
0.0000 0.0000 0.0000
0.5102 0.2357 0.1451
0.1975 0.2137 0.5861
0.8025 0.7863 0.4139
0.4898 0.7643 0.8549
0.6839 0.2177 0.9694
0.5592 0.9982 0.2930
0.4050 0.6246 0.7540
0.0014 0.7864 0.2469
0.9080 0.8184 0.5961
0.0920 0.1816 0.4039
0.2117 0.3678 0.0522
0.4408 0.0018 0.7070
0.7114 0.5844 0.4665
0.9986 0.2136 0.7531
0.2886 0.4156 0.5335
0.5950 0.3754 0.2460
0.3161 0.7823 0.0306
0.7883 0.6322 0.9478
```

Calculated values
formation energy from raw total energies	-1589	meV per atom
magnetization	0.839	μB per formula unit
SG	P-1 (2)

=====

10.
Below is an optimized crystal structure of CuSiO3, with properties calculated at the PBEsol level.

Geometry as POSCAR:
```
CuSiO3
1.0
7.7000 0.0000 0.0000
-2.5667 8.3614 0.0000
2.5667 4.1807 7.2412
Cu Si O
6 6 18
Direct
0.4547 0.4183 0.3891
0.9636 0.8074 0.5817
0.5453 0.5817 0.6109
0.0364 0.1926 0.4183
0.8437 0.3891 0.1926
0.1563 0.6109 0.8074
0.2879 0.6074 0.1328
0.3195 0.7402 0.3926
0.4207 0.1328 0.2598
0.6805 0.2598 0.6074
0.7121 0.3926 0.8672
0.5793 0.8672 0.7402
0.4346 0.6117 0.4380
0.4468 0.7359 0.6802
0.2320 0.7072 0.2523
0.5532 0.2641 0.3198
0.8730 0.3198 0.4161
0.7680 0.2928 0.7477
0.4843 0.2523 0.0404
0.2891 0.4161 0.2641
0.1771 0.0497 0.3883
0.8726 0.4380 0.9503
0.8229 0.9503 0.6117
0.5247 0.0404 0.7072
0.5157 0.7477 0.9596
0.7109 0.5839 0.7359
0.1274 0.5620 0.0497
0.1270 0.6802 0.5839
0.5654 0.3883 0.5620
0.4753 0.9596 0.2928
```

Calculated values
formation energy from raw total energies	-1837	meV per atom
magnetization	0.880	μB per formula unit
SG	R-3 (148)

=====

11.
Below is an optimized crystal structure of Sr2CuSi2O7, with properties calculated at the PBEsol level.

Geometry as POSCAR:
```
Sr2CuSi2O7
1.0
-4.0812 -2.1611 1.9889
4.0873 -6.9581 0.8265
2.3971 2.2876 7.4044
Sr Cu Si O
4 2 4 14
Direct
0.9917 0.6659 0.1659
0.0083 0.8341 0.6659
0.0083 0.1659 0.3341
0.9917 0.3341 0.8341
0.5000 0.5000 0.5000
0.5000 0.0000 0.0000
0.5357 0.8632 0.3632
0.4643 0.6368 0.8632
0.4643 0.3632 0.1368
0.5357 0.1368 0.6368
0.6807 0.6915 0.4182
0.6807 0.3085 0.5818
0.3193 0.4182 0.3085
0.3193 0.5818 0.6915
0.6807 0.9182 0.1915
0.3193 0.8085 0.9182
0.3193 0.1915 0.0818
0.6807 0.0818 0.8085
0.2155 0.8654 0.3654
0.7845 0.6346 0.8654
0.6539 0.0000 0.5000
0.3461 0.5000 0.0000
0.2155 0.1346 0.6346
0.7845 0.3654 0.1346
```

Calculated values
formation energy from raw total energies	-2582	meV per atom
magnetization	1.007	μB per formula unit
SG	P-42_1m (113)

=====

12.
Below is an optimized crystal structure of ZnCuSi4O10, with properties calculated at the PBEsol level.

Geometry as POSCAR:
```
ZnCuSi4O10
1.0
-5.8912 -3.4603 -2.1385
2.6238 -0.3564 -6.6514
6.4079 -12.8987 3.2188
Zn Cu Si O
4 4 16 40
Direct
0.5000 0.5000 0.5000
0.0000 0.0000 0.5000
0.0000 0.0000 0.0000
0.5000 0.5000 0.0000
0.5000 0.0000 0.5694
0.0000 0.5000 0.9306
0.0000 0.5000 0.4306
0.5000 0.0000 0.0694
0.1657 0.2383 0.6435
0.8343 0.7617 0.6435
0.2383 0.1657 0.8565
0.7383 0.3343 0.6435
0.2617 0.6657 0.6435
0.3343 0.7383 0.8565
0.6657 0.2617 0.8565
0.7617 0.8343 0.8565
0.3343 0.2617 0.3565
0.6657 0.7383 0.3565
0.2617 0.3343 0.1435
0.7617 0.1657 0.3565
0.2383 0.8343 0.3565
0.1657 0.7617 0.1435
0.8343 0.2383 0.1435
0.7383 0.6657 0.1435
0.2383 0.0793 0.5737
0.7617 0.9207 0.5737
0.0793 0.2383 0.9263
0.5793 0.2617 0.5737
0.4207 0.7383 0.5737
0.2617 0.5793 0.9263
0.7383 0.4207 0.9263
0.9207 0.7617 0.9263
0.2617 0.4207 0.4263
0.7383 0.5793 0.4263
0.4207 0.2617 0.0737
0.9207 0.2383 0.4263
0.0793 0.7617 0.4263
0.2383 0.9207 0.0737
0.7617 0.0793 0.0737
0.2463 0.0574 0.3769
0.5793 0.7383 0.0737
0.7463 0.5574 0.6231
0.4426 0.2537 0.8769
0.9426 0.2463 0.6231
0.0574 0.7537 0.6231
0.2463 0.9426 0.8769
0.7537 0.0574 0.8769
0.5574 0.7463 0.8769
0.6940 0.6940 0.2500
0.8060 0.1940 0.2500
0.1940 0.8060 0.2500
0.3060 0.3060 0.2500
0.8060 0.8060 0.7500
0.6940 0.3060 0.7500
0.3060 0.6940 0.7500
0.1940 0.1940 0.7500
0.9426 0.7537 0.1231
0.7463 0.4426 0.1231
0.2537 0.5574 0.1231
0.4426 0.7463 0.3769
0.5574 0.2537 0.3769
0.0574 0.2463 0.1231
0.7537 0.9426 0.3769
0.2537 0.4426 0.6231
```

Calculated values
formation energy from raw total energies	-2279	meV per atom
magnetization	1.000	μB per formula unit
SG	P4/ncc (130)

=====

13.
Below is an optimized crystal structure of SmCu2O4, with properties calculated at the PBEsol level.

Geometry as POSCAR:
```
SmCu2O4
1.0
-1.7367 5.4003 0.4449
-2.8855 -4.2238 3.6181
1.3510 -0.0210 5.5274
Sm Cu O
2 4 8
Direct
0.0000 0.0000 0.0000
0.7500 0.5000 0.7500
0.8750 0.2500 0.3750
0.3750 0.2500 0.3750
0.3750 0.7500 0.3750
0.3750 0.7500 0.8750
0.4074 0.1025 0.7344
0.6951 0.1025 0.1631
0.3426 0.3975 0.0156
0.0549 0.3975 0.5869
0.0156 0.6025 0.0549
0.5869 0.6025 0.3426
0.1631 0.8975 0.4074
0.7344 0.8975 0.6951
```

Calculated values
formation energy from raw total energies	-1676	meV per atom
magnetization	0.837	μB per formula unit
SG	I4_1/a (88)

=====

14.
Below is an optimized crystal structure of Sm2CuO4, with properties calculated at the PBEsol level.

Geometry as POSCAR:
```
Sm2CuO4
1.0
3.8801 0.0000 0.0000
0.0000 3.8801 0.0000
-1.9401 -1.9401 5.9587
O Cu Sm
4 1 2
Direct
0.2500 0.7500 0.5000
0.7500 0.2500 0.5000
0.5000 0.0000 0.0000
0.0000 0.5000 0.0000
0.0000 0.0000 0.0000
0.3504 0.3504 0.7007
0.6496 0.6496 0.2993
```

Calculated values
formation energy from raw total energies	-2671	meV per atom
magnetization	0.000	μB per formula unit
SG	I4/mmm (139)